Entry 1:
Compound: Sr3YSe
Source: Alexandria
Functional: GGA-PBE
Structure: relaxed

Output
As for the space-group type: Pm-3m, No. 221. The calculation puts the size of the total moment at 0.971 μB per atom. The calculation puts the energy above the most stable polymorph in this dataset at 1083 meV per atom.

Structure (POSCAR):
```
Sr3YSe
1.0
6.361 0.000 0.000
0.000 6.361 0.000
0.000 0.000 6.361
Sr Y Se
3 1 1
Direct
0.000 0.000 0.500
0.000 0.500 0.000
0.500 0.000 0.000
0.000 0.000 0.000
0.500 0.500 0.500
```

Entry 2:
Compound: SrY4Se6
Source: Alexandria
Functional: GGA-PBE
Structure: relaxed

Output
As for the space-group type: Cmcm, No. 63. The calculation puts the size of the total moment at 0.000 μB per atom.

Structure (POSCAR):
```
SrY4Se6
1.0
2.057 -6.752 0.000
2.057 6.752 0.000
0.000 0.000 21.126
Sr Y Se
2 8 12
Direct
0.159 0.841 0.750
0.841 0.159 0.250
0.093 0.907 0.128
0.093 0.907 0.372
0.361 0.639 0.039
0.361 0.639 0.461
0.639 0.361 0.539
0.639 0.361 0.961
0.907 0.093 0.628
0.907 0.093 0.872
0.000 0.000 0.000
0.000 0.000 0.500
0.174 0.826 0.250
0.269 0.731 0.587
0.269 0.731 0.913
0.455 0.545 0.161
0.455 0.545 0.339
0.545 0.455 0.661
0.545 0.455 0.839
0.731 0.269 0.087
0.731 0.269 0.413
0.826 0.174 0.750
```

Number 1: calculated total energy -11.85 eV/f.u.. Number 2: calculated total energy -69.27 eV/f.u..